#one
Here is WC after structural relaxation from Alexandria. Energies are from PBEsol.

Results
Magnetic moment: 0.11 Bohr magnetons per cell
SG: No. 189

a b c (Å): 5.2880 5.2880 2.8649
angles (deg): 90.00 90.00 120.00
Fractional positions:
1 W 0.0000 0.6270 0.0000
2 W 0.3730 0.3730 0.0000
3 W 0.6270 0.0000 0.0000
4 C 0.0000 0.0000 0.0000
5 C 0.3333 0.6667 0.5000
6 C 0.6667 0.3333 0.5000

---

#two
Here is WC after structural relaxation from Alexandria. Energies are from PBEsol.

Results
Magnetic moment: 0.00 Bohr magnetons per cell
SG: No. 189

a b c (Å): 5.1836 5.1836 2.8371
angles (deg): 90.00 90.00 120.00
Fractional positions:
1 W 0.0000 0.0000 0.0000
2 W 0.3333 0.6667 0.5000
3 W 0.6667 0.3333 0.5000
4 C 0.0000 0.3889 0.0000
5 C 0.3889 0.0000 0.0000
6 C 0.6111 0.6111 0.0000

---

Q: Which of them is the most stable? A: #two.